# RbNaTl4Pt2 PBE optimized geometry
# - Energy: -3.126 eV per atom
# - Crystal system: orthorhombic
data_RbNaTl4Pt2
_chemical_formula_sum 'Rb2 Na2 Tl8 Pt4'
_cell_length_a 8.4200
_cell_length_b 4.4523
_cell_length_c 11.7247
_cell_angle_alpha 90.00
_cell_angle_beta 90.00
_cell_angle_gamma 90.00
_space_group_name_H-M_alt 'A m m 2'
_space_group_IT_number 38
loop_
_space_group_symop_operation_xyz
'x,y,z'
'-x,-y,z'
'-x,y,z'
'x,-y,z'
'x,y+1/2,z+1/2'
'-x,-y+1/2,z+1/2'
'-x,y+1/2,z+1/2'
'x,-y+1/2,z+1/2'
loop_
_atom_site_label
_atom_site_type_symbol
_atom_site_fract_x
_atom_site_fract_y
_atom_site_fract_z
Rb1 Rb 0.0000 0.0000 0.0000
Na1 Na 0.5000 0.0000 0.1181
Tl1 Tl 0.2067 0.0000 0.7073
Tl2 Tl 0.3059 0.0000 0.4081
Pt1 Pt 0.0000 0.0000 0.2780
Pt2 Pt 0.5000 0.0000 0.8403

=====

# MgTaAlCo PBE optimized geometry
# - Energy: -5.786 eV per atom
# - Crystal system: cubic
data_MgTaAlCo
_chemical_formula_sum 'Mg4 Ta4 Al4 Co4'
_cell_length_a 6.2666
_cell_length_b 6.2666
_cell_length_c 6.2666
_cell_angle_alpha 90.00
_cell_angle_beta 90.00
_cell_angle_gamma 90.00
_space_group_name_H-M_alt 'F -4 3 m'
_space_group_IT_number 216
_space_group_name_Hall 'F -4 2 3'
loop_
_atom_site_label
_atom_site_type_symbol
_atom_site_fract_x
_atom_site_fract_y
_atom_site_fract_z
Mg1 Mg 0.0000 0.0000 0.0000
Ta1 Ta 0.2500 0.2500 0.2500
Al1 Al 0.0000 0.0000 0.5000
Co1 Co 0.2500 0.2500 0.7500

=====

# CsHfAuSeS2 PBE optimized geometry
# - Energy: -5.367 eV per atom
# - Crystal system: orthorhombic
data_CsHfAuSeS2
_chemical_formula_sum 'Cs4 Hf4 Au4 Se4 S8'
_cell_length_a 3.8628
_cell_length_b 16.1519
_cell_length_c 10.2789
_cell_angle_alpha 90.00
_cell_angle_beta 90.00
_cell_angle_gamma 90.00
_space_group_name_H-M_alt 'C m c m'
_space_group_IT_number 63
_space_group_name_Hall '-C 2c 2'
loop_
_atom_site_label
_atom_site_type_symbol
_atom_site_fract_x
_atom_site_fract_y
_atom_site_fract_z
Cs1 Cs 0.0000 0.2463 0.2500
Hf1 Hf 0.0000 0.0000 0.0000
Au1 Au 0.0000 0.4495 0.7500
Se1 Se 0.0000 0.0664 0.7500
S1 S 0.0000 0.3926 0.5318

=====

# AgPbNO PBE optimized geometry
# - Energy: -4.625 eV per atom
# - Crystal system: tetragonal
data_AgPbNO
_chemical_formula_sum 'Ag2 Pb2 N2 O2'
_cell_length_a 4.9135
_cell_length_b 4.9135
_cell_length_c 4.6835
_cell_angle_alpha 90.00
_cell_angle_beta 90.00
_cell_angle_gamma 90.00
_space_group_name_H-M_alt 'P 4/n m m'
_space_group_IT_number 129
loop_
_space_group_symop_operation_xyz
'x,y,z'
'-x,-y,-z'
'-y+1/2,x,z'
'y+1/2,-x,-z'
'-x+1/2,-y+1/2,z'
'x+1/2,y+1/2,-z'
'y,-x+1/2,z'
'-y,x+1/2,-z'
'x+1/2,-y,-z'
'-x+1/2,y,z'
'-y,-x,-z'
'y,x,z'
'-x,y+1/2,-z'
'x,-y+1/2,z'
'y+1/2,x+1/2,-z'
'-y+1/2,-x+1/2,z'
loop_
_atom_site_label
_atom_site_type_symbol
_atom_site_fract_x
_atom_site_fract_y
_atom_site_fract_z
Ag1 Ag 0.2500 0.2500 0.0012
Pb1 Pb 0.2500 0.7500 0.5000
N1 N 0.2500 0.2500 0.5015
O1 O 0.2500 0.7500 0.0000

=====

# Gd2HoFe3Ni6 PBE optimized geometry
# - Crystal system: trigonal
# - Formation energy from the elements: -267.8 meV/atom
data_Gd2HoFe3Ni6
_chemical_formula_sum 'Gd6 Ho3 Fe9 Ni18'
_cell_length_a 5.0131
_cell_length_b 5.0131
_cell_length_c 24.1895
_cell_angle_alpha 90.00
_cell_angle_beta 90.00
_cell_angle_gamma 120.00
_space_group_name_H-M_alt 'R -3 m'
_space_group_IT_number 166
_space_group_name_Hall '-R 3 2"'
loop_
_atom_site_label
_atom_site_type_symbol
_atom_site_fract_x
_atom_site_fract_y
_atom_site_fract_z
Gd1 Gd 0.0000 0.0000 0.1386
Ho1 Ho 0.0000 0.0000 0.0000
Fe1 Fe 0.0000 0.0000 0.3332
Fe2 Fe 0.0000 0.0000 0.5000
Ni1 Ni 0.0006 0.5003 0.0818

=====

# PrNd2AlBr3 PBE optimized geometry
# - Energy: -4.523 eV per atom
# - Crystal system: tetragonal
data_PrNd2AlBr3
_chemical_formula_sum 'Pr1 Nd2 Al1 Br3'
_cell_length_a 6.0452
_cell_length_b 6.0452
_cell_length_c 6.0458
_cell_angle_alpha 90.00
_cell_angle_beta 90.00
_cell_angle_gamma 90.00
_space_group_name_H-M_alt 'P 4/m m m'
_space_group_IT_number 123
_space_group_name_Hall '-P 4 2'
loop_
_atom_site_label
_atom_site_type_symbol
_atom_site_fract_x
_atom_site_fract_y
_atom_site_fract_z
Pr1 Pr 0.0000 0.0000 0.0000
Nd1 Nd 0.0000 0.5000 0.5000
Al1 Al 0.0000 0.0000 0.5000
Br1 Br 0.0000 0.5000 0.0000
Br2 Br 0.5000 0.5000 0.5000

=====

# LuCoMo PBE optimized geometry
# - Crystal system: cubic
# - Formation energy from the elements: 1363.3 meV/atom
data_LuCoMo
_chemical_formula_sum 'Lu4 Co4 Mo4'
_cell_length_a 6.2219
_cell_length_b 6.2219
_cell_length_c 6.2219
_cell_angle_alpha 90.00
_cell_angle_beta 90.00
_cell_angle_gamma 90.00
_space_group_name_H-M_alt 'F -4 3 m'
_space_group_IT_number 216
_space_group_name_Hall 'F -4 2 3'
loop_
_atom_site_label
_atom_site_type_symbol
_atom_site_fract_x
_atom_site_fract_y
_atom_site_fract_z
Lu1 Lu 0.0000 0.0000 0.0000
Co1 Co 0.2500 0.2500 0.7500
Mo1 Mo 0.2500 0.2500 0.2500

=====

# MgSc2Os PBE optimized geometry
# - Energy: -6.202 eV per atom
# - Crystal system: hexagonal
data_MgSc2Os
_chemical_formula_sum 'Mg2 Sc4 Os2'
_cell_length_a 4.9358
_cell_length_b 4.9358
_cell_length_c 7.4294
_cell_angle_alpha 90.00
_cell_angle_beta 90.00
_cell_angle_gamma 120.00
_space_group_name_H-M_alt 'P 63/m m c'
_space_group_IT_number 194
_space_group_name_Hall '-P 6c 2c'
loop_
_atom_site_label
_atom_site_type_symbol
_atom_site_fract_x
_atom_site_fract_y
_atom_site_fract_z
Mg1 Mg 0.0000 0.0000 0.0000
Sc1 Sc 0.3333 0.6667 0.0833
Os1 Os 0.3333 0.6667 0.7500

=====

The records above give, respectively, volume values of 27.5, 15.4, 26.7, 14.1, 14.6, 31.6, 20.1, 19.6 A^3/atom.